## Li3MnS (PBE-GGA)

Data for a relaxed structure of Li3MnS. Values from VASP.

Computed properties:
VASP energy in eV/atom: -4.01
Energy above the lowest structure with this stoichiometry in eV/atom: 0.000
Raw formation energy in eV per atom: -0.20
Space-group type: Pm-3m (221)
M_tot in μB/cell: 4.14

```
&SYSTEM
  ibrav = 0, nat = 5, ntyp = 3
/
ATOMIC_SPECIES
Li 6.94 Li.upf
S 32.06 S.upf
Mn 54.94 Mn.upf
CELL_PARAMETERS angstrom
4.601 0.000 0.000
0.000 4.601 0.000
0.000 0.000 4.601
ATOMIC_POSITIONS crystal
Li 0.000 0.000 0.500
Li 0.500 0.000 0.000
Li 0.000 0.500 0.000
S 0.000 0.000 0.000
Mn 0.500 0.500 0.500
```